# 1
The following is a PBE calculation of a geometry-optimized ReSe2 structure, from Alexandria via LeMat-Bulk.

a b c (Å): 4.3144 4.3143 3.4843
angles (deg): 90.00 90.00 120.00
Closest atoms and distances in Å follow each position.
Fractional positions:
1 Se 0.3333 0.6667 0.8019  3 Re 2.58, 3 Se 2.85
2 Se 0.6667 0.3333 0.1981  3 Re 2.58, 3 Se 2.85
3 Re 0.0000 0.0000 0.0000  6 Se 2.58

***

# 2
The following is a PBE calculation of a geometry-optimized ReSe structure, from Alexandria via LeMat-Bulk.

a b c (Å): 6.8236 6.8236 6.3713
angles (deg): 78.09 78.09 25.94
Closest atoms and distances in Å follow each position.
Fractional positions:
1 Se 0.6406 0.6406 0.6852  3 Re 2.55-2.57
2 Se 0.2233 0.2233 0.1643  4 Re 2.50-2.63
3 Se 0.9175 0.9175 0.4911  4 Re 2.57-2.67
4 Re 0.4129 0.4129 0.1691  3 Se 2.53-2.57, 3 Re 2.54-2.63
5 Re 0.0596 0.0596 0.9945  4 Re 2.54-2.68, 3 Se 2.55-2.63
6 Re 0.5794 0.5794 0.3292  5 Se 2.50-2.67, 3 Re 2.63-2.68

Values from the calculation:
energy above the most stable polymorph in this dataset = 265 meV per atom

***

# 3
The following is a PBE calculation of a geometry-optimized ReSe2 structure, from Alexandria via LeMat-Bulk.

a b c (Å): 4.3019 4.3019 4.3019
angles (deg): 60.00 60.00 60.00
Closest atoms and distances in Å follow each position.
Fractional positions:
1 Se 0.2500 0.2500 0.2500  4 Re 2.63
2 Se 0.7500 0.7500 0.7500  4 Re 2.63
3 Re 0.0000 0.0000 0.0000  8 Se 2.63

***

# 4
The following is a PBE calculation of a geometry-optimized ReSe2 structure, from Alexandria via LeMat-Bulk.

a b c (Å): 5.2033 5.2033 5.2033
angles (deg): 108.50 108.50 111.43
Closest atoms and distances in Å follow each position.
Fractional positions:
1 Se 0.8273 0.3273 0.1546  4 Re 2.69, 1 Se 2.97
2 Se 0.1727 0.6727 0.8454  4 Re 2.69, 1 Se 2.97
3 Se 0.3273 0.1727 0.5000  4 Re 2.69, 1 Se 2.97
4 Se 0.6727 0.8273 0.5000  4 Re 2.69, 1 Se 2.97
5 Re 0.2500 0.2500 0.0000  8 Se 2.69, 2 Re 2.93
6 Re 0.7500 0.7500 0.0000  8 Se 2.69, 2 Re 2.93

***

# 5
The following is a PBE calculation of a geometry-optimized ReSe structure, from Alexandria via LeMat-Bulk.

a b c (Å): 9.7298 9.7298 9.7298
angles (deg): 17.96 17.96 17.96
Closest atoms and distances in Å follow each position.
Fractional positions:
1 Se 0.2745 0.2745 0.2745  3 Re 2.51
2 Se 0.4755 0.4755 0.4755  3 Re 2.51
3 Re 0.0038 0.0038 0.0038  3 Se 2.51, 3 Re 2.79
4 Re 0.7462 0.7462 0.7462  3 Se 2.51, 3 Re 2.79

Values from the calculation:
energy above the most stable polymorph in this dataset = 241 meV per atom

***

# 6
The following is a PBE calculation of a geometry-optimized Re2SiSe structure, from Alexandria via LeMat-Bulk.

a b c (Å): 2.7963 2.7963 9.6558
angles (deg): 90.00 90.00 117.08
Closest atoms and distances in Å follow each position.
Fractional positions:
1 Si 0.5000 0.5000 0.7894  2 Re 2.57, 4 Si 2.80
2 Re 0.5000 0.5000 0.2389  2 Se 2.61, 8 Re 2.66-2.92
3 Re 0.0000 0.0000 0.0085  2 Si 2.57, 6 Re 2.66-2.80
4 Se 0.0000 0.0000 0.4631  2 Re 2.61, 6 Se 2.80-2.92

Values from the calculation:
energy above the most stable polymorph in this dataset = 378 meV per atom

***

# 7
The following is a PBE calculation of a geometry-optimized Re2SiSe structure, from Alexandria via LeMat-Bulk.

a b c (Å): 4.4509 3.0131 4.3953
angles (deg): 90.00 90.00 90.00
Closest atoms and distances in Å follow each position.
Fractional positions:
1 Si 0.5000 0.8750 0.7424  6 Re 2.52-2.71
2 Re 0.5000 0.3750 0.2296  2 Se 2.56, 4 Si 2.62-2.71, 4 Re 2.85
3 Re 0.0000 0.8750 0.0120  2 Si 2.52, 4 Se 2.65-2.68
4 Se 0.0000 0.3750 0.5159  6 Re 2.56-2.68

Values from the calculation:
energy above the most stable polymorph in this dataset = 0 meV per atom

***

# 8
The following is a PBE calculation of a geometry-optimized ReSi2Se6 structure, from Alexandria via LeMat-Bulk.

a b c (Å): 6.4707 8.2387 8.2387
angles (deg): 83.13 81.90 81.90
Closest atoms and distances in Å follow each position.
Fractional positions:
1 Si 0.3413 0.2145 0.3779  4 Se 2.31-2.38
2 Si 0.8413 0.3779 0.2145  4 Se 2.31-2.38
3 Si 0.6587 0.7855 0.6221  4 Se 2.31-2.38
4 Si 0.1587 0.6221 0.7855  4 Se 2.31-2.38
5 Se 0.6329 0.6206 0.1155  1 Si 2.38, 1 Re 2.39
6 Se 0.1244 0.8141 0.9828  1 Si 2.37, 1 Re 2.54
7 Se 0.1329 0.1155 0.6206  1 Si 2.38, 1 Re 2.39
8 Se 0.3671 0.3794 0.8845  1 Si 2.38, 1 Re 2.39
9 Se 0.6433 0.2856 0.4562  2 Si 2.31-2.32
10 Se 0.8756 0.1859 0.0172  1 Si 2.37, 1 Re 2.54
11 Se 0.8671 0.8845 0.3794  1 Si 2.38, 1 Re 2.39
12 Se 0.6244 0.9828 0.8141  1 Si 2.37, 1 Re 2.54
13 Se 0.3756 0.0172 0.1859  1 Si 2.37, 1 Re 2.54
14 Se 0.1433 0.4562 0.2856  2 Si 2.31-2.32
15 Se 0.3567 0.7144 0.5438  2 Si 2.31-2.32
16 Se 0.8567 0.5438 0.7144  2 Si 2.31-2.32
17 Re 0.7500 0.8823 0.1177  4 Se 2.39-2.54
18 Re 0.2500 0.1177 0.8823  4 Se 2.39-2.54

***

# 9
The following is a PBE calculation of a geometry-optimized ReSiSe3 structure, from Alexandria via LeMat-Bulk.

a b c (Å): 4.6327 4.6327 4.6327
angles (deg): 90.00 90.00 90.00
Closest atoms and distances in Å follow each position.
Fractional positions:
1 Se 0.0000 0.0000 0.5000  2 Si 2.32
2 Se 0.0000 0.5000 0.0000  2 Si 2.32
3 Se 0.5000 0.0000 0.0000  2 Si 2.32
4 Si 0.0000 0.0000 0.0000  6 Se 2.32
5 Re 0.5000 0.5000 0.5000  12 Se 3.28

Values from the calculation:
energy above the most stable polymorph in this dataset = 475 meV per atom

***

# 10
The following is a PBE calculation of a geometry-optimized Re2SiSe structure, from Alexandria via LeMat-Bulk.

a b c (Å): 4.3214 4.3214 4.3214
angles (deg): 60.00 60.00 60.00
Closest atoms and distances in Å follow each position.
Fractional positions:
1 Re 0.7500 0.7500 0.7500  4 Se 2.65, 4 Si 2.65
2 Re 0.2500 0.2500 0.2500  4 Se 2.65, 4 Si 2.65
3 Se 0.5000 0.5000 0.5000  8 Re 2.65
4 Si 0.0000 0.0000 0.0000  8 Re 2.65

Values from the calculation:
energy above the most stable polymorph in this dataset = 166 meV per atom

***

# 11
The following is a PBE calculation of a geometry-optimized Re2SiSe structure, from Alexandria via LeMat-Bulk.

a b c (Å): 8.2268 8.2268 8.2268
angles (deg): 20.43 20.43 20.43
Closest atoms and distances in Å follow each position.
Fractional positions:
1 Re 0.0027 0.0027 0.0027  3 Si 2.57, 3 Se 2.68
2 Re 0.4973 0.4973 0.4973  3 Si 2.57, 3 Se 2.68
3 Si 0.7500 0.7500 0.7500  6 Re 2.57
4 Se 0.2500 0.2500 0.2500  6 Re 2.68, 6 Se 2.92

Values from the calculation:
energy above the most stable polymorph in this dataset = 181 meV per atom

***

# 12
The following is a PBE calculation of a geometry-optimized Re2SiSe structure, from Alexandria via LeMat-Bulk.

a b c (Å): 3.7430 3.0040 5.7413
angles (deg): 72.34 90.00 90.00
Closest atoms and distances in Å follow each position.
Fractional positions:
1 Si 0.5000 0.7500 0.7500  4 Re 2.39
2 Se 0.5000 0.2500 0.2500  2 Si 2.81, 8 Re 2.83-2.85, 2 Se 3.00
3 Re 0.0000 0.5965 0.5283  2 Si 2.39
4 Re 0.0000 0.9035 0.9717  2 Si 2.39

Values from the calculation:
energy above the most stable polymorph in this dataset = 372 meV per atom

***

| no. | raw formation energy (kJ/mol of formula units) | magnetic moment (μB per cell) |
| --- | --- | --- |
| 1 | 163 | 0.0 |
| 2 | 26 | 0.0 |
| 3 | 51 | 0.0 |
| 4 | 116 | 0.0 |
| 5 | 22 | 0.0 |
| 6 | 197 | 0.0 |
| 7 | 51 | 0.0 |
| 8 | -131 | 1.9 |
| 9 | 608 | 0.7 |
| 10 | 115 | 0.0 |
| 11 | 120 | 0.0 |
| 12 | 194 | 0.0 |